# PBE+U Li2AcCoO4, relaxed
# crystal system	tetragonal
# ρ	6.03	Mg/m³
# E_tot	-6.172	eV per atom
# V	12.5	Å³/atom
data_Li2AcCoO4
_chemical_formula_sum 'Li2 Ac1 Co1 O4'
_cell_length_a 5.1263
_cell_length_b 5.1263
_cell_length_c 5.1263
_cell_angle_alpha 115.92
_cell_angle_beta 115.92
_cell_angle_gamma 97.23
_symmetry_space_group_name_H-M 'P 1'
_symmetry_Int_Tables_number 1
_symmetry_space_group_name_Hall 'P 1'
loop_
_atom_site_label
_atom_site_fract_x
_atom_site_fract_y
_atom_site_fract_z
Li1 0.2500 0.7500 0.5000
Li2 0.7500 0.2500 0.5000
Ac1 0.0000 0.0000 0.0000
Co1 0.5000 0.5000 0.0000
O1 0.1415 0.5488 0.0000
O2 0.4512 0.4512 0.5926
O3 0.5488 0.1415 0.0000
O4 0.8585 0.8585 0.4074